Record 1
Pr2CuNi3Sb4: relaxed, PBE.

Summary:
Crystal system = tetragonal
Uncorrected energy = -5.36 eV per atom

a b c (Å): 4.5062 4.5062 10.1370
angles (deg): 90.00 90.00 90.00
Fractional positions:
Pr: 0.0000 0.5000 0.2423
Pr: 0.5000 0.0000 0.7577
Cu: 0.5000 0.5000 0.0000
Ni: 0.0000 0.0000 0.0000
Ni: 0.0000 0.5000 0.6218
Ni: 0.5000 0.0000 0.3782
Sb: 0.0000 0.0000 0.5000
Sb: 0.0000 0.5000 0.8697
Sb: 0.5000 0.0000 0.1303
Sb: 0.5000 0.5000 0.5000

Record 2
Y3BiSeS: relaxed, PBE.

Summary:
Crystal system = monoclinic
Uncorrected energy = -6.58 eV per atom

a b c (Å): 8.0000 8.0000 6.8869
angles (deg): 96.84 96.84 128.86
Fractional positions:
Y: 0.1646 0.3082 0.9985
Y: 0.2455 0.7545 0.7500
Y: 0.3082 0.1646 0.4985
Y: 0.6918 0.8354 0.5015
Y: 0.7545 0.2455 0.2500
Y: 0.8354 0.6918 0.0015
Bi: 0.2520 0.7480 0.2500
Bi: 0.7480 0.2520 0.7500
Se: 0.4398 0.5602 0.7500
Se: 0.5602 0.4398 0.2500
S: 0.0585 0.9415 0.7500
S: 0.9415 0.0585 0.2500

Record 3
NpTl2AgCl8: relaxed, PBE.

Summary:
Crystal system = triclinic
Uncorrected energy = -4.09 eV per atom

a b c (Å): 6.6152 6.6668 9.9437
angles (deg): 90.01 90.10 97.83
Fractional positions:
Np: 0.0000 0.0000 0.0000
Tl: 0.4991 0.4989 0.2713
Tl: 0.5009 0.5011 0.7287
Ag: 0.0000 0.0000 0.5000
Cl: 0.1206 0.7802 0.8176
Cl: 0.1226 0.7833 0.1836
Cl: 0.3007 0.2423 0.5005
Cl: 0.3437 0.2212 0.9991
Cl: 0.6563 0.7788 0.0009
Cl: 0.6993 0.7577 0.4995
Cl: 0.8774 0.2167 0.8164
Cl: 0.8794 0.2198 0.1824

Record 4
La2MoRu: relaxed, PBE.

Summary:
E above lowest polymorph = 0.3683 eV per atom
Crystal system = orthorhombic
Formation energy from the elements = 1.718 eV/f.u.

a b c (Å): 3.9212 5.3769 8.8182
angles (deg): 90.00 90.00 90.00
Fractional positions:
La: 0.0000 0.0000 0.2195
La: 0.0000 0.0000 0.7805
La: 0.5000 0.5000 0.2805
La: 0.5000 0.5000 0.7195
Mo: 0.0000 0.5000 0.0000
Mo: 0.5000 0.0000 0.5000
Ru: 0.0000 0.5000 0.5000
Ru: 0.5000 0.0000 0.0000

Record 5
LiDyAl2Ag4: relaxed, PBE.

Summary:
Crystal system = trigonal
Formation energy from the elements = -2.063 eV/f.u.

a b c (Å): 8.5787 8.5787 8.5787
angles (deg): 30.78 30.78 30.78
Fractional positions:
Li: 0.0000 0.0000 0.0000
Dy: 0.5000 0.5000 0.5000
Al: 0.2537 0.2537 0.2537
Al: 0.7463 0.7463 0.7463
Ag: 0.1045 0.1045 0.1045
Ag: 0.3691 0.3691 0.3691
Ag: 0.6309 0.6309 0.6309
Ag: 0.8955 0.8955 0.8955

Record 6
Pm3NdTe6: relaxed, PBE.

Summary:
E above lowest polymorph = 0.0000 eV per atom
Crystal system = monoclinic

a b c (Å): 12.7069 4.4634 13.0854
angles (deg): 90.00 109.24 90.00
Fractional positions:
Pm: 0.0694 0.2500 0.1673
Pm: 0.1824 0.7500 0.5022
Pm: 0.3443 0.2500 0.9197
Pm: 0.6557 0.7500 0.0803
Pm: 0.8176 0.2500 0.4978
Pm: 0.9306 0.7500 0.8327
Nd: 0.4554 0.2500 0.3060
Nd: 0.5446 0.7500 0.6940
Te: 0.0145 0.2500 0.3816
Te: 0.1059 0.2500 0.9379
Te: 0.2490 0.7500 0.2800
Te: 0.3089 0.7500 0.7493
Te: 0.3877 0.2500 0.5328
Te: 0.4149 0.7500 0.1014
Te: 0.5851 0.2500 0.8986
Te: 0.6123 0.7500 0.4672
Te: 0.6911 0.2500 0.2507
Te: 0.7510 0.2500 0.7200
Te: 0.8941 0.7500 0.0621
Te: 0.9855 0.7500 0.6184

Number 1: spin magnetization 0.00 μB per formula unit. Number 2: spin magnetization 0.00 μB per formula unit. Number 3: spin magnetization 2.00 μB per formula unit. Number 4: spin magnetization 1.78 μB per formula unit. Number 5: spin magnetization 0.00 μB per formula unit. Number 6: spin magnetization 0.00 μB per formula unit.